The following is a PBE calculation of CeHoOs2 after structural relaxation, from Alexandria via LeMat-Bulk.

## Properties
Symmetry: P4/mmm
ΔE_f: -0.58 eV per formula unit
Size of the total moment: 0.000 μB per atom
DFT total energy: -33.55 eV per cell

Cell: 4.855 4.855 3.419 Å, 90.00 90.00 90.00°
Atoms (fractional coordinates):
Ce1 0.000 0.000 0.000
Ho1 0.500 0.500 0.000
Os1 0.000 0.500 0.500
Os2 0.500 0.000 0.500